No. 1
VASP calculation (PBE-GGA) on a geometry-optimized PrAsS2 structure.

a b c (Å): 3.751 3.751 8.730
angles (deg): 77.59 77.59 60.00
Atoms (fractional coordinates):
1 As 0.500 0.500 0.500
2 S 0.889 0.889 0.333
3 S 0.111 0.111 0.667
4 Pr 0.000 0.000 0.000

Values from the calculation:
Energy relative to the elements, uncorrected (kcal/mol of atoms): -7.32
Symmetry: No. 166
E_tot (eV/atom): -4.738
Size of the total moment (Bohr magnetons per cell): 0.00


No. 2
VASP calculation (PBE-GGA) on a geometry-optimized CuHg2Ru structure.

a b c (Å): 2.999 2.998 7.952
angles (deg): 90.00 90.00 90.00
Site moments in Bohr magnetons follow the coordinates.
Atoms (fractional coordinates):
1 Cu 0.500 0.500 0.725  0.13
2 Hg 0.000 0.000 0.958  0.02
3 Hg 0.500 0.500 0.283  0.01
4 Ru 0.000 0.000 0.534  1.33

Values from the calculation:
Symmetry: No. 99
E_tot (eV/atom): -3.077
Energy relative to the elements (eV/atom): 0.417
Size of the total moment (Bohr magnetons per cell): 1.54
E above lowest polymorph (eV per atom): 0.029


No. 3
VASP calculation (PBE-GGA) on a geometry-optimized Li3CoSb structure.

a b c (Å): 4.546 4.546 4.546
angles (deg): 90.00 90.00 90.00
Site moments in Bohr magnetons follow the coordinates.
Atoms (fractional coordinates):
1 Li 0.500 0.000 0.000  -0.01
2 Li 0.000 0.000 0.500  0.00
3 Li 0.000 0.500 0.000  0.00
4 Sb 0.500 0.500 0.500  0.09
5 Co 0.000 0.000 0.000  1.64

Values from the calculation:
Energy relative to the elements, uncorrected (kcal/mol of atoms): 8.87
Symmetry: No. 221
E_tot (eV/atom): -3.009
Size of the total moment (Bohr magnetons per cell): 1.86
E above lowest polymorph (eV per atom): 0.000


V, record by record: 25.77 17.88 18.79 Å³/atom